A:
VASP calculation (GGA-PBE) on an optimized crystal structure of NpPdPtRh.

Space-group type = Pmmm

Lattice parameters (Å, degrees): 4.0146 4.0235 4.2608 90.00 90.00 90.00
Closest atoms and distances in Å follow each position.
Element x y z (fractional)
Np1 0.0000 0.0000 0.0000  4 Rh 2.84, 4 Pt 2.93, 4 Pd 2.93
Pd1 0.0000 0.5000 0.5000  4 Pt 2.84, 4 Rh 2.93, 4 Np 2.93
Pt1 0.5000 0.0000 0.5000  4 Pd 2.84, 4 Np 2.93, 4 Rh 2.93
Rh1 0.5000 0.5000 0.0000  4 Np 2.84, 4 Pd 2.93, 4 Pt 2.93


B:
VASP calculation (GGA-PBE) on an optimized crystal structure of NpPdPtRh.

Space-group type = F-43m

Lattice parameters (Å, degrees): 6.5575 6.5575 6.5575 90.00 90.00 90.00
Closest atoms and distances in Å follow each position.
Element x y z (fractional)
Np1 0.0000 0.0000 0.0000  4 Rh 2.84, 4 Pt 2.84
Np2 0.0000 0.5000 0.5000  4 Rh 2.84, 4 Pt 2.84
Np3 0.5000 0.0000 0.5000  4 Rh 2.84, 4 Pt 2.84
Np4 0.5000 0.5000 0.0000  4 Rh 2.84, 4 Pt 2.84
Pd1 0.0000 0.0000 0.5000  4 Pt 2.84, 4 Rh 2.84
Pd2 0.0000 0.5000 0.0000  4 Pt 2.84, 4 Rh 2.84
Pd3 0.5000 0.0000 0.0000  4 Pt 2.84, 4 Rh 2.84
Pd4 0.5000 0.5000 0.5000  4 Pt 2.84, 4 Rh 2.84
Pt1 0.2500 0.2500 0.7500  4 Np 2.84, 4 Pd 2.84
Pt2 0.2500 0.7500 0.2500  4 Np 2.84, 4 Pd 2.84
Pt3 0.7500 0.2500 0.2500  4 Np 2.84, 4 Pd 2.84
Pt4 0.7500 0.7500 0.7500  4 Np 2.84, 4 Pd 2.84
Rh1 0.2500 0.2500 0.2500  4 Np 2.84, 4 Pd 2.84
Rh2 0.2500 0.7500 0.7500  4 Np 2.84, 4 Pd 2.84
Rh3 0.7500 0.2500 0.7500  4 Np 2.84, 4 Pd 2.84
Rh4 0.7500 0.7500 0.2500  4 Np 2.84, 4 Pd 2.84


Bottom line: A, by a margin of 15.4 kJ/mol of atoms.


A:
VASP calculation (GGA-PBE) on an optimized crystal structure of PuNpPd2.

Space-group type = R-3m

Lattice parameters (Å, degrees): 2.9362 2.9362 30.7424 90.00 90.00 120.00
Closest atoms and distances in Å follow each position.
Element x y z (fractional)
Pu1 0.0000 0.0000 0.0000  6 Pu 2.94, 6 Pd 3.07
Pu2 0.3333 0.6667 0.6667  6 Pu 2.94, 6 Pd 3.07
Pu3 0.6667 0.3333 0.3333  6 Pu 2.94, 6 Pd 3.07
Np1 0.0000 0.0000 0.5000  6 Np 2.94, 6 Pd 3.08
Np2 0.3333 0.6667 0.1667  6 Np 2.94, 6 Pd 3.08
Np3 0.6667 0.3333 0.8333  6 Np 2.94, 6 Pd 3.08
Pd1 0.0000 0.0000 0.2502  6 Pd 2.94, 3 Pu 3.07, 3 Np 3.08
Pd2 0.0000 0.0000 0.7498  6 Pd 2.94, 3 Pu 3.07, 3 Np 3.08
Pd3 0.3333 0.6667 0.4165  6 Pd 2.94, 3 Pu 3.07, 3 Np 3.08
Pd4 0.3333 0.6667 0.9169  6 Pd 2.94, 3 Pu 3.07, 3 Np 3.08
Pd5 0.6667 0.3333 0.0831  6 Pd 2.94, 3 Pu 3.07, 3 Np 3.08
Pd6 0.6667 0.3333 0.5835  6 Pd 2.94, 3 Pu 3.07, 3 Np 3.08


B:
VASP calculation (GGA-PBE) on an optimized crystal structure of PuNpPd2.

Space-group type = Fm-3m

Lattice parameters (Å, degrees): 7.0178 7.0178 7.0178 90.00 90.00 90.00
Closest atoms and distances in Å follow each position.
Element x y z (fractional)
Pu1 0.0000 0.0000 0.0000  8 Pd 3.04
Pu2 0.0000 0.5000 0.5000  8 Pd 3.04
Pu3 0.5000 0.0000 0.5000  8 Pd 3.04
Pu4 0.5000 0.5000 0.0000  8 Pd 3.04
Np1 0.0000 0.0000 0.5000  8 Pd 3.04
Np2 0.0000 0.5000 0.0000  8 Pd 3.04
Np3 0.5000 0.0000 0.0000  8 Pd 3.04
Np4 0.5000 0.5000 0.5000  8 Pd 3.04
Pd1 0.2500 0.2500 0.2500  4 Np 3.04, 4 Pu 3.04
Pd2 0.2500 0.2500 0.7500  4 Np 3.04, 4 Pu 3.04
Pd3 0.2500 0.7500 0.2500  4 Np 3.04, 4 Pu 3.04
Pd4 0.2500 0.7500 0.7500  4 Np 3.04, 4 Pu 3.04
Pd5 0.7500 0.2500 0.2500  4 Np 3.04, 4 Pu 3.04
Pd6 0.7500 0.2500 0.7500  4 Np 3.04, 4 Pu 3.04
Pd7 0.7500 0.7500 0.2500  4 Np 3.04, 4 Pu 3.04
Pd8 0.7500 0.7500 0.7500  4 Np 3.04, 4 Pu 3.04


Bottom line: B, by a margin of 13.5 kJ/mol of atoms.


A:
VASP calculation (GGA-PBE) on an optimized crystal structure of NpPdRu2.

Space-group type = P4/mmm

Lattice parameters (Å, degrees): 4.1382 4.1382 3.8013 90.00 90.00 90.00
Closest atoms and distances in Å follow each position.
Element x y z (fractional)
Np1 0.0000 0.0000 0.0000  8 Ru 2.81, 4 Pd 2.93
Pd1 0.5000 0.5000 0.0000  8 Ru 2.81, 4 Np 2.93
Ru1 0.0000 0.5000 0.5000  4 Pd 2.81, 4 Np 2.81, 4 Ru 2.93
Ru2 0.5000 0.0000 0.5000  4 Pd 2.81, 4 Np 2.81, 4 Ru 2.93


B:
VASP calculation (GGA-PBE) on an optimized crystal structure of NpPdRu2.

Space-group type = R-3m

Lattice parameters (Å, degrees): 4.7399 4.7399 10.7414 90.00 90.00 120.00
Closest atoms and distances in Å follow each position.
Element x y z (fractional)
Np1 0.0000 0.0000 0.0000  2 Ru 2.32
Np2 0.3333 0.6667 0.6667  2 Ru 2.32
Np3 0.6667 0.3333 0.3333  2 Ru 2.32
Pd1 0.0000 0.0000 0.5000  8 Ru 2.79-3.05
Pd2 0.3333 0.6667 0.1667  8 Ru 2.79-3.05
Pd3 0.6667 0.3333 0.8333  8 Ru 2.79-3.05
Ru1 0.0000 0.0000 0.2158  1 Np 2.32
Ru2 0.0000 0.0000 0.7842  1 Np 2.32
Ru3 0.3333 0.6667 0.4509  1 Np 2.32
Ru4 0.3333 0.6667 0.8824  1 Np 2.32
Ru5 0.6667 0.3333 0.1176  1 Np 2.32
Ru6 0.6667 0.3333 0.5491  1 Np 2.32


Bottom line: A, by a margin of 5.8 kJ/mol of atoms.


A:
VASP calculation (GGA-PBE) on an optimized crystal structure of NpPdS2.

Space-group type = Cmcm

Lattice parameters (Å, degrees): 4.0510 15.1030 5.2738 90.00 90.00 90.00
Closest atoms and distances in Å follow each position.
Element x y z (fractional)
Np1 0.0000 0.1739 0.2500  6 S 2.64-2.79
Np2 0.0000 0.8261 0.7500  6 S 2.64-2.79
Np3 0.5000 0.3261 0.7500  6 S 2.64-2.79
Np4 0.5000 0.6739 0.2500  6 S 2.64-2.79
Pd1 0.0000 0.3933 0.2500  5 S 2.46-2.72
Pd2 0.0000 0.6067 0.7500  5 S 2.46-2.72
Pd3 0.5000 0.1067 0.7500  5 S 2.46-2.72
Pd4 0.5000 0.8933 0.2500  5 S 2.46-2.72
S1 0.0000 0.1993 0.7500  2 Pd 2.46, 2 Np 2.66
S2 0.0000 0.4377 0.7500  3 Pd 2.55-2.72, 2 Np 2.64
S3 0.0000 0.5623 0.2500  3 Pd 2.55-2.72, 2 Np 2.64
S4 0.0000 0.8007 0.2500  2 Pd 2.46, 2 Np 2.66
S5 0.5000 0.0623 0.2500  3 Pd 2.55-2.72, 2 Np 2.64
S6 0.5000 0.3007 0.2500  2 Pd 2.46, 2 Np 2.66
S7 0.5000 0.6993 0.7500  2 Pd 2.46, 2 Np 2.66
S8 0.5000 0.9377 0.7500  3 Pd 2.55-2.72, 2 Np 2.64


B:
VASP calculation (GGA-PBE) on an optimized crystal structure of NpPdS2.

Space-group type = P2_1/c

Lattice parameters (Å, degrees): 6.3998 7.0474 6.8441 90.00 98.36 90.00
Closest atoms and distances in Å follow each position.
Element x y z (fractional)
Np1 0.2041 0.0579 0.3003  7 S 2.74-2.95
Np2 0.2041 0.4421 0.8003  7 S 2.74-2.95
Np3 0.7959 0.5579 0.1997  7 S 2.74-2.95
Np4 0.7959 0.9421 0.6997  7 S 2.74-2.95
Pd1 0.4252 0.6769 0.4683  3 S 2.36-2.44
Pd2 0.4252 0.8231 0.9683  3 S 2.36-2.44
Pd3 0.5748 0.1769 0.0317  3 S 2.36-2.44
Pd4 0.5748 0.3231 0.5317  3 S 2.36-2.44
S1 0.0626 0.7351 0.5032  1 Pd 2.40
S2 0.0626 0.7649 0.0032  1 Pd 2.40
S3 0.3920 0.1007 0.7024  2 Pd 2.36-2.44
S4 0.3920 0.3993 0.2024  2 Pd 2.36-2.44
S5 0.6080 0.6007 0.7976  2 Pd 2.36-2.44
S6 0.6080 0.8993 0.2976  2 Pd 2.36-2.44
S7 0.9374 0.2351 0.9968  1 Pd 2.40
S8 0.9374 0.2649 0.4968  1 Pd 2.40


Bottom line: A, by a margin of 1.0 kJ/mol of atoms.


A:
VASP calculation (GGA-PBE) on an optimized crystal structure of NpPdS2.

Space-group type = R3m

Lattice parameters (Å, degrees): 3.8550 3.8550 18.2224 90.00 90.00 120.00
Closest atoms and distances in Å follow each position.
Element x y z (fractional)
Np1 0.0000 0.0000 0.0000  6 S 2.73-2.75
Np2 0.3333 0.6667 0.6667  6 S 2.73-2.75
Np3 0.6667 0.3333 0.3333  6 S 2.73-2.75
Pd1 0.0000 0.0000 0.1911  3 S 2.44
Pd2 0.3333 0.6667 0.8578  3 S 2.44
Pd3 0.6667 0.3333 0.5245  3 S 2.44
S1 0.0000 0.0000 0.5799  3 Pd 2.44, 3 Np 2.73
S2 0.0000 0.0000 0.7554  3 Np 2.75, 3 Pd 2.90
S3 0.3333 0.6667 0.2465  3 Pd 2.44, 3 Np 2.73
S4 0.3333 0.6667 0.4221  3 Np 2.75, 3 Pd 2.90
S5 0.6667 0.3333 0.0888  3 Np 2.75, 3 Pd 2.90
S6 0.6667 0.3333 0.9132  3 Pd 2.44, 3 Np 2.73


B:
VASP calculation (GGA-PBE) on an optimized crystal structure of NpPdS2.

Space-group type = R-3m

Lattice parameters (Å, degrees): 4.0678 4.0678 15.8051 90.00 90.00 120.00
Closest atoms and distances in Å follow each position.
Element x y z (fractional)
Np1 0.0000 0.0000 0.0000  6 S 2.70
Np2 0.3333 0.6667 0.6667  6 S 2.70
Np3 0.6667 0.3333 0.3333  6 S 2.70
Pd1 0.0000 0.0000 0.5000  6 S 2.69
Pd2 0.3333 0.6667 0.1667  6 S 2.69
Pd3 0.6667 0.3333 0.8333  6 S 2.69
S1 0.0000 0.0000 0.2493  3 Pd 2.69, 3 Np 2.70
S2 0.0000 0.0000 0.7507  3 Pd 2.69, 3 Np 2.70
S3 0.3333 0.6667 0.4174  3 Pd 2.69, 3 Np 2.70
S4 0.3333 0.6667 0.9160  3 Pd 2.69, 3 Np 2.70
S5 0.6667 0.3333 0.0840  3 Pd 2.69, 3 Np 2.70
S6 0.6667 0.3333 0.5826  3 Pd 2.69, 3 Np 2.70


Bottom line: B, by a margin of 10.5 kJ/mol of atoms.


A:
VASP calculation (GGA-PBE) on an optimized crystal structure of Np2PdSe4.

Space-group type = P2_1/m

Lattice parameters (Å, degrees): 7.0505 5.8636 8.0783 90.00 107.40 90.00
Closest atoms and distances in Å follow each position.
Element x y z (fractional)
Np1 0.2333 0.2500 0.4377  8 Se 2.90-3.14
Np2 0.2517 0.2500 0.9332  6 Se 2.83-3.11
Np3 0.7483 0.7500 0.0668  6 Se 2.83-3.11
Np4 0.7667 0.7500 0.5623  8 Se 2.90-3.14
Pd1 0.2514 0.7500 0.6976  4 Se 2.47-2.51
Pd2 0.7486 0.2500 0.3024  4 Se 2.47-2.51
Se1 0.0551 0.7500 0.9045  1 Pd 2.47
Se2 0.0654 0.7500 0.3802  1 Pd 2.51
Se3 0.4650 0.5152 0.2447  1 Pd 2.47, 1 Se 2.75
Se4 0.4650 0.9848 0.2447  1 Pd 2.47, 1 Se 2.75
Se5 0.5350 0.0152 0.7553  1 Pd 2.47, 1 Se 2.75
Se6 0.5350 0.4848 0.7553  1 Pd 2.47, 1 Se 2.75
Se7 0.9346 0.2500 0.6198  1 Pd 2.51
Se8 0.9449 0.2500 0.0955  1 Pd 2.47


B:
VASP calculation (GGA-PBE) on an optimized crystal structure of Np2PdSe4.

Space-group type = Pbam

Lattice parameters (Å, degrees): 7.1891 10.8990 4.2576 90.00 90.00 90.00
Closest atoms and distances in Å follow each position.
Element x y z (fractional)
Np1 0.1136 0.1851 0.0000  7 Se 2.81-2.98
Np2 0.3864 0.6851 0.0000  7 Se 2.81-2.98
Np3 0.6136 0.3149 0.0000  7 Se 2.81-2.98
Np4 0.8864 0.8149 0.0000  7 Se 2.81-2.98
Pd1 0.0000 0.5000 0.5000  2 Se 2.50
Pd2 0.5000 0.0000 0.5000  2 Se 2.50
Se1 0.1146 0.7169 0.5000  1 Pd 2.50
Se2 0.2501 0.4433 0.0000  3 Np 2.81-2.98, 2 Pd 2.85
Se3 0.2499 0.9433 0.0000  3 Np 2.81-2.98, 2 Pd 2.85
Se4 0.3854 0.2169 0.5000  1 Pd 2.50
Se5 0.6146 0.7831 0.5000  1 Pd 2.50
Se6 0.7501 0.0567 0.0000  3 Np 2.81-2.98, 2 Pd 2.85
Se7 0.7499 0.5567 0.0000  3 Np 2.81-2.98, 2 Pd 2.85
Se8 0.8854 0.2831 0.5000  1 Pd 2.50


Bottom line: A, by a margin of 2.1 kJ/mol of atoms.